# Cr3TeMo

A PBEsol-optimized structure of Cr3TeMo (SCAN, Alexandria).

Computed properties:
formation energy (no corrections) = 1.28 eV/atom
total magnetization = 8.31 μB/f.u.

Geometry as CIF:
```
data_Cr3TeMo
_chemical_formula_sum 'Cr3 Te1 Mo1'
_space_group_name_H-M_alt 'P m -3 m'
_space_group_IT_number 221
_space_group_name_Hall '-P 4 2 3'
_cell_length_a 4.8816
_cell_length_b 4.8816
_cell_length_c 4.8816
_cell_angle_alpha 90.00
_cell_angle_beta 90.00
_cell_angle_gamma 90.00
loop_
_atom_site_label
_atom_site_fract_x
_atom_site_fract_y
_atom_site_fract_z
_atom_site_occupancy
Cr1 0.0000 0.0000 0.5000 1
Te1 0.0000 0.0000 0.0000 1
Mo1 0.5000 0.5000 0.5000 1
```


# Cr4TeMo

A PBEsol-optimized structure of Cr4TeMo (SCAN, Alexandria).

Computed properties:
formation energy (no corrections) = 0.36 eV/atom
total magnetization = 0.00 μB/f.u.

Geometry as CIF:
```
data_Cr4TeMo
_chemical_formula_sum 'Cr16 Te4 Mo4'
_space_group_name_H-M_alt 'F -4 3 m'
_space_group_IT_number 216
_space_group_name_Hall 'F -4 2 3'
_cell_length_a 6.8089
_cell_length_b 6.8089
_cell_length_c 6.8089
_cell_angle_alpha 90.00
_cell_angle_beta 90.00
_cell_angle_gamma 90.00
loop_
_atom_site_label
_atom_site_fract_x
_atom_site_fract_y
_atom_site_fract_z
_atom_site_occupancy
Cr1 0.1237 0.1237 0.1237 1
Te1 0.2500 0.2500 0.7500 1
Mo1 0.0000 0.0000 0.5000 1
```


# CrTeMo2

A PBEsol-optimized structure of CrTeMo2 (SCAN, Alexandria).

Computed properties:
formation energy (no corrections) = 0.40 eV/atom
total magnetization = 0.85 μB/f.u.

Geometry as CIF:
```
data_CrTeMo2
_chemical_formula_sum 'Cr1 Te1 Mo2'
_space_group_name_H-M_alt 'P 4/m m m'
_space_group_IT_number 123
_space_group_name_Hall '-P 4 2'
_cell_length_a 4.4439
_cell_length_b 4.4439
_cell_length_c 3.1622
_cell_angle_alpha 90.00
_cell_angle_beta 90.00
_cell_angle_gamma 90.00
loop_
_atom_site_label
_atom_site_fract_x
_atom_site_fract_y
_atom_site_fract_z
_atom_site_occupancy
Cr1 0.0000 0.0000 0.0000 1
Te1 0.5000 0.5000 0.0000 1
Mo1 0.0000 0.5000 0.5000 1
```


# TlCrMo2

A PBEsol-optimized structure of TlCrMo2 (SCAN, Alexandria).

Computed properties:
total magnetization = 0.00 μB/f.u.
energy of formation = 471 meV per atom

Geometry as CIF:
```
data_TlCrMo2
_chemical_formula_sum 'Tl1 Cr1 Mo2'
_space_group_name_H-M_alt 'P 4/m m m'
_space_group_IT_number 123
_space_group_name_Hall '-P 4 2'
_cell_length_a 3.2456
_cell_length_b 3.2456
_cell_length_c 6.1175
_cell_angle_alpha 90.00
_cell_angle_beta 90.00
_cell_angle_gamma 90.00
loop_
_atom_site_label
_atom_site_fract_x
_atom_site_fract_y
_atom_site_fract_z
_atom_site_occupancy
Tl1 0.0000 0.0000 0.0000 1
Cr1 0.0000 0.0000 0.5000 1
Mo1 0.5000 0.5000 0.3033 1
```


# TlCrMo

A PBEsol-optimized structure of TlCrMo (SCAN, Alexandria).

Computed properties:
total magnetization = 1.63 μB/f.u.
energy of formation = 656 meV per atom
distance to the lowest polymorph of the same formula = 0 meV/atom

Geometry as CIF:
```
data_TlCrMo
_chemical_formula_sum 'Tl1 Cr1 Mo1'
_space_group_name_H-M_alt 'P 3 m 1'
_space_group_IT_number 156
_space_group_name_Hall 'P 3 -2"'
_cell_length_a 4.4069
_cell_length_b 4.4069
_cell_length_c 2.8771
_cell_angle_alpha 90.00
_cell_angle_beta 90.00
_cell_angle_gamma 120.00
loop_
_atom_site_label
_atom_site_fract_x
_atom_site_fract_y
_atom_site_fract_z
_atom_site_occupancy
Tl1 0.0000 0.0000 0.0000 1
Cr1 0.3333 0.6667 0.3444 1
Mo1 0.6667 0.3333 0.5487 1
```


# TlCr2Mo

A PBEsol-optimized structure of TlCr2Mo (SCAN, Alexandria).

Computed properties:
total magnetization = 2.97 μB/f.u.
energy of formation = 329 meV per atom
distance to the lowest polymorph of the same formula = 0 meV/atom

Geometry as CIF:
```
data_TlCr2Mo
_chemical_formula_sum 'Tl1 Cr2 Mo1'
_space_group_name_H-M_alt 'P 4/m m m'
_space_group_IT_number 123
_space_group_name_Hall '-P 4 2'
_cell_length_a 3.1076
_cell_length_b 3.1076
_cell_length_c 6.2762
_cell_angle_alpha 90.00
_cell_angle_beta 90.00
_cell_angle_gamma 90.00
loop_
_atom_site_label
_atom_site_fract_x
_atom_site_fract_y
_atom_site_fract_z
_atom_site_occupancy
Tl1 0.0000 0.0000 0.0000 1
Cr1 0.5000 0.5000 0.2845 1
Mo1 0.0000 0.0000 0.5000 1
```